(1)
A plane-wave DFT calculation with meta-GGA SCAN was carried out for a crystal of Zr6Ni23 relaxed with PBEsol.

As for the total magnetic moment: 18.11 Bohr magnetons per cell. The formation energy is -0.361 eV/atom.

The space group is Fm-3m (No. 225) and the conventional cell measures 11.311, 11.311 and 11.311 Å, with angles of 90.00, 90.00 and 90.00 degrees. The inequivalent atoms are Zr at (0.000, 0.000, 0.214), Ni at (0.000, 0.000, 0.500), Ni at (0.000, 0.250, 0.250), Ni at (0.120, 0.120, 0.380) and Ni at (0.171, 0.171, 0.171).


(2)
A plane-wave DFT calculation with meta-GGA SCAN was carried out for a crystal of Zr4Ni relaxed with PBEsol.

As for the total magnetic moment: 0.00 Bohr magnetons per cell. The formation energy is -0.110 eV/atom.

The space group is I4/m (No. 87) and the conventional cell measures 7.793, 7.793 and 3.221 Å, with angles of 90.00, 90.00 and 90.00 degrees. The inequivalent atoms are Zr at (0.081, 0.723, 0.000) and Ni at (0.000, 0.000, 0.500).


(3)
A plane-wave DFT calculation with meta-GGA SCAN was carried out for a crystal of Zr2Ni relaxed with PBEsol.

As for the total magnetic moment: 0.00 Bohr magnetons per cell. The formation energy is -0.260 eV/atom.

The space group is Fd-3m (No. 227, origin choice 2) and the conventional cell measures 12.018, 12.018 and 12.018 Å, with angles of 90.00, 90.00 and 90.00 degrees. The inequivalent atoms are Zr at (0.000, 0.000, 0.000), Zr at (0.063, 0.375, 0.875) and Ni at (0.035, 0.035, 0.215).


(4)
A plane-wave DFT calculation with meta-GGA SCAN was carried out for a crystal of Zr2Ni relaxed with PBEsol.

As for the total magnetic moment: 0.00 Bohr magnetons per cell. The formation energy is -0.358 eV/atom.

The space group is I4/mcm (No. 140) and the conventional cell measures 6.426, 6.426 and 5.137 Å, with angles of 90.00, 90.00 and 90.00 degrees. The inequivalent atoms are Zr at (0.163, 0.337, 0.000) and Ni at (0.000, 0.000, 0.250).


(5)
A plane-wave DFT calculation with meta-GGA SCAN was carried out for a crystal of ZrNi2 relaxed with PBEsol.

As for the total magnetic moment: 0.00 Bohr magnetons per cell. The formation energy is -0.400 eV/atom.

The space group is Immm (No. 71) and the conventional cell measures 3.465, 5.075 and 9.634 Å, with angles of 90.00, 90.00 and 90.00 degrees. The inequivalent atoms are Zr at (0.000, 0.000, 0.177), Ni at (0.000, 0.244, 0.500) and Ni at (0.000, 0.500, 0.121).


(6)
A plane-wave DFT calculation with meta-GGA SCAN was carried out for a crystal of Zr2Ni relaxed with PBEsol.

As for the total magnetic moment: 0.00 Bohr magnetons per cell. The formation energy is -0.266 eV/atom.

The space group is C2/m (No. 12) and the conventional cell measures 10.892, 3.172 and 6.416 Å, with angles of 90.00, 103.74 and 90.00 degrees. The inequivalent atoms are Zr at (0.143, 0.000, 0.072), Zr at (0.156, 0.000, 0.595) and Ni at (0.019, 0.500, 0.295).


(7)
A plane-wave DFT calculation with meta-GGA SCAN was carried out for a crystal of Zr2Ni7 relaxed with PBEsol.

As for the total magnetic moment: 0.00 Bohr magnetons per cell. The formation energy is -0.428 eV/atom.

The space group is C2/m (No. 12) and the conventional cell measures 4.631, 8.104 and 6.197 Å, with angles of 90.00, 105.86 and 90.00 degrees. The inequivalent atoms are Zr at (0.106, 0.000, 0.271), Ni at (0.000, 0.500, 0.000), Ni at (0.126, 0.334, 0.344) and Ni at (0.250, 0.250, 0.000).


(8)
A plane-wave DFT calculation with meta-GGA SCAN was carried out for a crystal of Np2O5 relaxed with PBEsol.

As for the total magnetic moment: 16.00 Bohr magnetons per cell. Its uncorrected formation energy is -3.08 eV/atom.

The space group is C2/c (No. 15) and the conventional cell measures 9.121, 6.605 and 7.873 Å, with angles of 90.00, 115.37 and 90.00 degrees. The inequivalent atoms are Np at (0.000, 0.000, 0.000), Np at (0.000, 0.463, 0.250), O at (0.000, 0.109, 0.250), O at (0.009, 0.303, 0.962) and O at (0.234, 0.470, 0.363).


(9)
A plane-wave DFT calculation with meta-GGA SCAN was carried out for a crystal of SrNpP2O8 relaxed with PBEsol.

As for the total magnetic moment: 24.00 Bohr magnetons per cell. Its uncorrected formation energy is -3.06 eV/atom.

The space group is Cmce (No. 64) and the conventional cell measures 10.493, 8.922 and 13.240 Å, with angles of 90.00, 90.00 and 90.00 degrees. The inequivalent atoms are Sr at (0.250, 0.019, 0.250), Np at (0.000, 0.228, 0.094), P at (0.000, 0.180, 0.818), P at (0.227, 0.000, 0.500), O at (0.000, 0.006, 0.812), O at (0.000, 0.233, 0.929), O at (0.117, 0.238, 0.759), O at (0.142, 0.083, 0.578) and O at (0.190, 0.105, 0.065).


(10)
A plane-wave DFT calculation with meta-GGA SCAN was carried out for a crystal of Np2SO2 relaxed with PBEsol.

As for the total magnetic moment: 8.01 Bohr magnetons per cell. Its uncorrected formation energy is -2.51 eV/atom.

The space group is P-3m1 (No. 164) and the conventional cell measures 3.7918, 3.7918 and 6.4636 Å, with angles of 90.00, 90.00 and 120.00 degrees. The inequivalent atoms are Np at (0.3333, 0.6667, 0.2266), S at (0.0000, 0.0000, 0.5000) and O at (0.3333, 0.6667, 0.8723).


(11)
A plane-wave DFT calculation with meta-GGA SCAN was carried out for a crystal of Np2SeO9 relaxed with PBEsol.

As for the total magnetic moment: 8.04 Bohr magnetons per cell. Its uncorrected formation energy is -2.05 eV/atom.

The space group is P2_1/c (No. 14) and the conventional cell measures 6.863, 6.739 and 15.711 Å, with angles of 90.00, 90.92 and 90.00 degrees. The inequivalent atoms are Np at (0.246, 0.180, 0.395), Np at (0.248, 0.041, 0.656), Se at (0.246, 0.566, 0.556), O at (0.028, 0.556, 0.843), O at (0.094, 0.748, 0.586), O at (0.191, 0.001, 0.957), O at (0.237, 0.075, 0.502), O at (0.239, 0.120, 0.125), O at (0.254, 0.212, 0.788), O at (0.283, 0.664, 0.231), O at (0.460, 0.681, 0.559) and O at (0.478, 0.547, 0.861).


(12)
A plane-wave DFT calculation with meta-GGA SCAN was carried out for a crystal of NpSeO relaxed with PBEsol.

As for the total magnetic moment: 6.00 Bohr magnetons per cell. Its uncorrected formation energy is -2.18 eV/atom.

The space group is P4/nmm (No. 129, origin choice 2) and the conventional cell measures 3.806, 3.806 and 6.884 Å, with angles of 90.00, 90.00 and 90.00 degrees. The inequivalent atoms are Np at (0.250, 0.250, 0.182), Se at (0.250, 0.250, 0.628) and O at (0.250, 0.750, 0.000).


(13)
A plane-wave DFT calculation with meta-GGA SCAN was carried out for a crystal of ZrNpO4 relaxed with PBEsol.

As for the total magnetic moment: 6.00 Bohr magnetons per cell. Its uncorrected formation energy is -3.56 eV/atom.

The space group is P4/nbm (No. 125, origin choice 2) and the conventional cell measures 5.254, 5.254 and 5.217 Å, with angles of 90.00, 90.00 and 90.00 degrees. The inequivalent atoms are Zr at (0.250, 0.750, 0.000), Np at (0.250, 0.250, 0.500) and O at (0.029, 0.529, 0.244).


(14)
A plane-wave DFT calculation with meta-GGA SCAN was carried out for a crystal of NpP relaxed with PBEsol.

As for the total magnetic moment: 15.07 Bohr magnetons per cell. The formation energy is -0.680 eV/atom.

The space group is Fm-3m (No. 225) and the conventional cell measures 5.497, 5.497 and 5.497 Å, with angles of 90.00, 90.00 and 90.00 degrees. The inequivalent atoms are Np at (0.000, 0.000, 0.000) and P at (0.000, 0.000, 0.500).


(15)
A plane-wave DFT calculation with meta-GGA SCAN was carried out for a crystal of NpP4S12 relaxed with PBEsol.

As for the total magnetic moment: 11.84 Bohr magnetons per cell. Its uncorrected formation energy is -0.50 eV/atom.

The space group is I4_1/a (No. 88, origin choice 2) and the conventional cell measures 12.899, 12.899 and 9.693 Å, with angles of 90.00, 90.00 and 90.00 degrees. The inequivalent atoms are Np at (0.000, 0.250, 0.125), P at (0.006, 0.433, 0.380), S at (0.065, 0.084, 0.577), S at (0.080, 0.131, 0.904) and S at (0.092, 0.071, 0.221).


(16)
A plane-wave DFT calculation with meta-GGA SCAN was carried out for a crystal of NpPd3 relaxed with PBEsol.

As for the total magnetic moment: 13.16 Bohr magnetons per cell. The formation energy is -0.360 eV/atom.

The space group is P6_3/mmc (No. 194) and the conventional cell measures 5.7347, 5.7347 and 9.4287 Å, with angles of 90.00, 90.00 and 120.00 degrees. The inequivalent atoms are Np at (0.0000, 0.0000, 0.0000), Np at (0.3333, 0.6667, 0.2500), Pd at (0.0000, 0.5000, 0.0000) and Pd at (0.1722, 0.3444, 0.7500).


(17)
A plane-wave DFT calculation with meta-GGA SCAN was carried out for a crystal of NpSi2Rh2 relaxed with PBEsol.

As for the total magnetic moment: 7.94 Bohr magnetons per cell. Its uncorrected formation energy is -0.76 eV/atom.

The space group is I4/mmm (No. 139) and the conventional cell measures 3.963, 3.963 and 10.056 Å, with angles of 90.00, 90.00 and 90.00 degrees. The inequivalent atoms are Np at (0.000, 0.000, 0.000), Si at (0.000, 0.000, 0.381) and Rh at (0.000, 0.500, 0.250).